{"formula": "GePd2F8", "functional": "GGA-PBE", "state": "optimized geometry", "cell": [[6.4778, 0.0000, 0.0000], [-3.2389, 5.6100, 0.0000], [0.0000, 0.0000, 4.1819]], "species": ["Ge", "Pd", "Pd", "F", "F", "F", "F", "F", "F", "F", "F"], "fractional_positions": [[0.0000, 0.0000, 0.0000], [0.3333, 0.6667, 0.2190], [0.6667, 0.3333, 0.7810], [0.1361, 0.2722, 0.2431], [0.1361, 0.8639, 0.2431], [0.2722, 0.1361, 0.7569], [0.3333, 0.6667, 0.7203], [0.6667, 0.3333, 0.2797], [0.7278, 0.8639, 0.2431], [0.8639, 0.1361, 0.7569], [0.8639, 0.7278, 0.7569]], "e_form_raw_ev_per_atom": -1.518, "vol_a3_per_atom": 13.82, "dos_ef_per_ev_atom": 1.382, "final_energy_ev_per_atom": -4.243, "sg": "P-3m1 (164)"}